1.
# GGA-PBE LaCuSi2C, relaxed
# Raw total energy, eV/atom: -5.1342
# Fermi-level density of states, states/eV/atom: 0.640
# Calculated density, g cm⁻³: 4.9
# Formation energy (no corrections), eV per atom: 0.68
data_LaCuSi2C
_symmetry_space_group_name_H-M 'P 4/m m m'
_symmetry_Int_Tables_number 123
_symmetry_space_group_name_Hall '-P 4 2'
_cell_length_a 4.9488
_cell_length_b 4.9488
_cell_length_c 3.7322
_cell_angle_alpha 90.00
_cell_angle_beta 90.00
_cell_angle_gamma 90.00
loop_
_atom_site_label
_atom_site_type_symbol
_atom_site_fract_x
_atom_site_fract_y
_atom_site_fract_z
La1 La 0.0000 0.0000 0.0000
Cu1 Cu 0.5000 0.5000 0.5000
Si1 Si 0.0000 0.5000 0.5000
C1 C 0.5000 0.5000 0.0000

2.
# GGA-PBE LaCuTcC2, relaxed
# E above lowest polymorph, eV/atom: 0.805
# Formation energy from the elements, eV/atom: 2.008
# Raw total energy, eV/atom: -5.5599
# Fermi-level density of states, states/eV/atom: 0.540
# Calculated density, g cm⁻³: 6.9
data_LaCuTcC2
_symmetry_space_group_name_H-M 'P 4/m m m'
_symmetry_Int_Tables_number 123
_symmetry_space_group_name_Hall '-P 4 2'
_cell_length_a 3.8675
_cell_length_b 3.8675
_cell_length_c 5.2337
_cell_angle_alpha 90.00
_cell_angle_beta 90.00
_cell_angle_gamma 90.00
loop_
_atom_site_label
_atom_site_type_symbol
_atom_site_fract_x
_atom_site_fract_y
_atom_site_fract_z
La1 La 0.0000 0.0000 0.0000
Cu1 Cu 0.0000 0.0000 0.5000
Tc1 Tc 0.5000 0.5000 0.0000
C1 C 0.0000 0.5000 0.5000

3.
# GGA-PBE LaCuTcC2, relaxed
# E above lowest polymorph, eV/atom: 0.000
# Formation energy from the elements, eV/atom: 1.203
# Raw total energy, eV/atom: -6.3647
# Fermi-level density of states, states/eV/atom: 0.503
# Calculated density, g cm⁻³: 5.9
data_LaCuTcC2
_symmetry_space_group_name_H-M 'P 4/m m m'
_symmetry_Int_Tables_number 123
_symmetry_space_group_name_Hall '-P 4 2'
_cell_length_a 4.0718
_cell_length_b 4.0718
_cell_length_c 5.5123
_cell_angle_alpha 90.00
_cell_angle_beta 90.00
_cell_angle_gamma 90.00
loop_
_atom_site_label
_atom_site_type_symbol
_atom_site_fract_x
_atom_site_fract_y
_atom_site_fract_z
La1 La 0.0000 0.0000 0.0000
Cu1 Cu 0.5000 0.5000 0.0000
Tc1 Tc 0.0000 0.0000 0.5000
C1 C 0.0000 0.5000 0.5000

4.
# GGA-PBE La2CuTeC, relaxed
# Raw total energy, eV/atom: -5.8723
# Fermi-level density of states, states/eV/atom: 0.366
# Calculated density, g cm⁻³: 7.0
# Formation energy (no corrections), eV per atom: -0.61
data_La2CuTeC
_symmetry_space_group_name_H-M 'P 4/m m m'
_symmetry_Int_Tables_number 123
_symmetry_space_group_name_Hall '-P 4 2'
_cell_length_a 5.3908
_cell_length_b 5.3908
_cell_length_c 3.9254
_cell_angle_alpha 90.00
_cell_angle_beta 90.00
_cell_angle_gamma 90.00
loop_
_atom_site_label
_atom_site_type_symbol
_atom_site_fract_x
_atom_site_fract_y
_atom_site_fract_z
La1 La 0.0000 0.5000 0.0000
Cu1 Cu 0.0000 0.0000 0.5000
Te1 Te 0.5000 0.5000 0.5000
C1 C 0.0000 0.0000 0.0000

5.
# GGA-PBE La2TlCuC, relaxed
# Formation energy from the elements, eV/atom: -0.126
# Raw total energy, eV/atom: -5.2342
# Fermi-level density of states, states/eV/atom: 0.850
# Calculated density, g cm⁻³: 8.0
data_La2TlCuC
_symmetry_space_group_name_H-M 'P 4/m m m'
_symmetry_Int_Tables_number 123
_symmetry_space_group_name_Hall '-P 4 2'
_cell_length_a 5.4832
_cell_length_b 5.4832
_cell_length_c 3.8632
_cell_angle_alpha 90.00
_cell_angle_beta 90.00
_cell_angle_gamma 90.00
loop_
_atom_site_label
_atom_site_type_symbol
_atom_site_fract_x
_atom_site_fract_y
_atom_site_fract_z
La1 La 0.0000 0.5000 0.0000
Tl1 Tl 0.0000 0.0000 0.5000
Cu1 Cu 0.5000 0.5000 0.5000
C1 C 0.5000 0.5000 0.0000

6.
# GGA-PBE La2ZnCuC, relaxed
# E above lowest polymorph, eV/atom: 0.094
# Formation energy from the elements, eV/atom: -0.002
# Raw total energy, eV/atom: -4.8919
# Fermi-level density of states, states/eV/atom: 1.091
# Calculated density, g cm⁻³: 6.3
data_La2ZnCuC
_symmetry_space_group_name_H-M 'P 4/m m m'
_symmetry_Int_Tables_number 123
_symmetry_space_group_name_Hall '-P 4 2'
_cell_length_a 5.3089
_cell_length_b 5.3089
_cell_length_c 3.9134
_cell_angle_alpha 90.00
_cell_angle_beta 90.00
_cell_angle_gamma 90.00
loop_
_atom_site_label
_atom_site_type_symbol
_atom_site_fract_x
_atom_site_fract_y
_atom_site_fract_z
La1 La 0.0000 0.5000 0.0000
Zn1 Zn 0.0000 0.0000 0.5000
Cu1 Cu 0.5000 0.5000 0.5000
C1 C 0.0000 0.0000 0.0000

7.
# GGA-PBE La2ZnCuC, relaxed
# E above lowest polymorph, eV/atom: 0.000
# Formation energy from the elements, eV/atom: -0.096
# Raw total energy, eV/atom: -4.9857
# Fermi-level density of states, states/eV/atom: 1.129
# Calculated density, g cm⁻³: 6.4
data_La2ZnCuC
_symmetry_space_group_name_H-M 'P 4/m m m'
_symmetry_Int_Tables_number 123
_symmetry_space_group_name_Hall '-P 4 2'
_cell_length_a 5.3507
_cell_length_b 5.3507
_cell_length_c 3.8104
_cell_angle_alpha 90.00
_cell_angle_beta 90.00
_cell_angle_gamma 90.00
loop_
_atom_site_label
_atom_site_type_symbol
_atom_site_fract_x
_atom_site_fract_y
_atom_site_fract_z
La1 La 0.0000 0.5000 0.0000
Zn1 Zn 0.0000 0.0000 0.5000
Cu1 Cu 0.5000 0.5000 0.5000
C1 C 0.5000 0.5000 0.0000

8.
# GGA-PBE Li2CuC, relaxed
# E above lowest polymorph, eV/atom: 0.000
# Formation energy from the elements, eV/atom: 0.330
# Raw total energy, eV/atom: -3.9572
# Fermi-level density of states, states/eV/atom: 0.394
# Calculated density, g cm⁻³: 2.2
data_Li2CuC
_symmetry_space_group_name_H-M 'I -4 2 d'
_symmetry_Int_Tables_number 122
_symmetry_space_group_name_Hall 'I -4 2bw'
_cell_length_a 8.5439
_cell_length_b 8.5439
_cell_length_c 3.6190
_cell_angle_alpha 90.00
_cell_angle_beta 90.00
_cell_angle_gamma 90.00
loop_
_atom_site_label
_atom_site_type_symbol
_atom_site_fract_x
_atom_site_fract_y
_atom_site_fract_z
Li1 Li 0.0013 0.7500 0.1250
Cu1 Cu 0.0000 0.0000 0.5000
C1 C 0.0000 0.0000 0.0000

9.
# GGA-PBE LiCu3C, relaxed
# E above lowest polymorph, eV/atom: 0.000
# Formation energy from the elements, eV/atom: 0.165
# Raw total energy, eV/atom: -4.5201
# Fermi-level density of states, states/eV/atom: 0.170
# Calculated density, g cm⁻³: 5.9
data_LiCu3C
_symmetry_space_group_name_H-M 'P m -3 m'
_symmetry_Int_Tables_number 221
_symmetry_space_group_name_Hall '-P 4 2 3'
_cell_length_a 3.8905
_cell_length_b 3.8905
_cell_length_c 3.8905
_cell_angle_alpha 90.00
_cell_angle_beta 90.00
_cell_angle_gamma 90.00
loop_
_atom_site_label
_atom_site_type_symbol
_atom_site_fract_x
_atom_site_fract_y
_atom_site_fract_z
Li1 Li 0.0000 0.0000 0.0000
Cu1 Cu 0.0000 0.5000 0.5000
C1 C 0.5000 0.5000 0.5000

10.
# GGA-PBE LiCuC, relaxed
# Formation energy from the elements, eV/atom: 0.222
# Raw total energy, eV/atom: -4.8555
# Fermi-level density of states, states/eV/atom: 0.166
# Calculated density, g cm⁻³: 3.8
data_LiCuC
_symmetry_space_group_name_H-M 'C 1 2/m 1'
_symmetry_Int_Tables_number 12
_symmetry_space_group_name_Hall '-C 2y'
_cell_length_a 7.0045
_cell_length_b 3.2619
_cell_length_c 6.4282
_cell_angle_alpha 90.00
_cell_angle_beta 100.57
_cell_angle_gamma 90.00
loop_
_atom_site_label
_atom_site_type_symbol
_atom_site_fract_x
_atom_site_fract_y
_atom_site_fract_z
Li1 Li 0.1217 0.0000 0.3410
Cu1 Cu 0.1308 0.5000 0.8937
C1 C 0.0622 0.5000 0.5857